Here is crystalline BaTi2PtS at its relaxed geometry from Alexandria. Energies are from PBEsol.

Output
DFT total energy, eV/atom: -4.03
Raw formation energy, eV per atom: 2.002

Geometry as CIF:
```
data_BaTi2PtS
_cell_length_a 5.053
_cell_length_b 5.053
_cell_length_c 5.003
_cell_angle_alpha 90.00
_cell_angle_beta 90.00
_cell_angle_gamma 90.00
_symmetry_space_group_name_H-M 'P 4/m m m'
_symmetry_Int_Tables_number 123
_symmetry_space_group_name_Hall '-P 4 2'
loop_
_atom_site_label
_atom_site_type_symbol
_atom_site_fract_x
_atom_site_fract_y
_atom_site_fract_z
_atom_site_occupancy
Ba1 Ba 0.000 0.000 0.000 1
Ti1 Ti 0.000 0.500 0.000 1
Pt1 Pt 0.000 0.000 0.500 1
S1 S 0.500 0.500 0.500 1
```

---

Here is crystalline ScAs2PBr at its relaxed geometry from Alexandria. Energies are from PBEsol.

Output
DFT total energy, eV/atom: -4.74
Raw formation energy, eV per atom: 0.157

Geometry as CIF:
```
data_ScAs2PBr
_cell_length_a 4.756
_cell_length_b 4.756
_cell_length_c 4.805
_cell_angle_alpha 90.00
_cell_angle_beta 90.00
_cell_angle_gamma 90.00
_symmetry_space_group_name_H-M 'P 4/m m m'
_symmetry_Int_Tables_number 123
_symmetry_space_group_name_Hall '-P 4 2'
loop_
_atom_site_label
_atom_site_type_symbol
_atom_site_fract_x
_atom_site_fract_y
_atom_site_fract_z
_atom_site_occupancy
Sc1 Sc 0.000 0.000 0.000 1
As1 As 0.000 0.500 0.500 1
P1 P 0.500 0.500 0.500 1
Br1 Br 0.500 0.500 0.000 1
```

---

Here is crystalline CuSbAu at its relaxed geometry from Alexandria. Energies are from PBEsol.

Output
Relative energy among the computed polymorphs, meV/atom: 162
DFT total energy, eV/atom: -4.11
Raw formation energy, eV per atom: 0.165

Geometry as CIF:
```
data_CuSbAu
_cell_length_a 6.235
_cell_length_b 6.235
_cell_length_c 6.235
_cell_angle_alpha 90.00
_cell_angle_beta 90.00
_cell_angle_gamma 90.00
_symmetry_space_group_name_H-M 'F -4 3 m'
_symmetry_Int_Tables_number 216
_symmetry_space_group_name_Hall 'F -4 2 3'
loop_
_atom_site_label
_atom_site_type_symbol
_atom_site_fract_x
_atom_site_fract_y
_atom_site_fract_z
_atom_site_occupancy
Cu1 Cu 0.000 0.000 0.000 1
Sb1 Sb 0.250 0.250 0.250 1
Au1 Au 0.000 0.000 0.500 1
```